1.
Here is a relaxed CaOs2Br crystal from Alexandria. Energies are from PBE-GGA.

Output
E_form (uncorrected): 0.3 eV per formula unit
Total magnetization: 0.00 μB per formula unit
Electronic total energy: -25.86 eV per cell

Unit cell a=4.0580 b=4.0580 c=7.5947 alpha=79.21 beta=79.21 gamma=59.45
With the nearest neighbours (Å) after each atom.
Fractional positions:
1 Br 0.5471 0.5471 0.4595  3 Ca 2.92-2.93
2 Os 0.0139 0.0139 0.8803  3 Os 2.37-2.38
3 Ca 0.2705 0.2705 0.2222  3 Br 2.92-2.93, 3 Os 3.15
4 Os 0.6684 0.6684 0.9380  3 Os 2.37-2.38


2.
Here is a relaxed CaOs2Br crystal from Alexandria. Energies are from PBE-GGA.

Output
E_form (uncorrected): 3.5 eV per formula unit
Total magnetization: 0.00 μB per formula unit
Electronic total energy: -22.59 eV per cell

Unit cell a=2.9105 b=4.9571 c=5.8630 alpha=90.00 beta=90.00 gamma=90.00
With the nearest neighbours (Å) after each atom.
Fractional positions:
1 Ca 0.5000 0.5000 0.7500  2 Ca 2.91, 2 Br 2.93, 8 Os 3.09
2 Br 0.5000 0.5000 0.2500  2 Br 2.91, 2 Ca 2.93
3 Os 0.0000 0.0000 0.5582  1 Os 2.25
4 Os 0.0000 0.0000 0.9418  1 Os 2.25